No. 1
Density functional theory data (GGA-PBE) for VCd after structural relaxation.

Unit cell a=4.937 b=4.937 c=2.996 alpha=92.48 beta=92.48 gamma=104.13
Fractional positions:
V: 0.152 0.152 0.433
V: 0.848 0.848 0.567
Cd: 0.309 0.691 0.000
Cd: 0.691 0.309 0.000

Computed properties:
ΔH_f (0 K) = 0.3300 eV per atom
DOS(E_F) = 0.40 states/eV per atom
DFT total energy = -4.69 eV/atom

***

No. 2
Density functional theory data (GGA-PBE) for VCd after structural relaxation.

Unit cell a=7.511 b=7.511 c=7.511 alpha=92.33 beta=92.33 gamma=156.72
Fractional positions:
V: 0.191 0.191 0.382
V: 0.191 0.809 0.000
V: 0.809 0.191 0.000
V: 0.809 0.809 0.618
Cd: 0.183 0.500 0.683
Cd: 0.500 0.183 0.683
Cd: 0.500 0.817 0.317
Cd: 0.817 0.500 0.317

Computed properties:
ΔH_f (0 K) = 0.5218 eV per atom
DOS(E_F) = 0.87 states/eV per atom
DFT total energy = -4.50 eV/atom

***

No. 3
Density functional theory data (GGA-PBE) for VCd after structural relaxation.

Unit cell a=3.816 b=3.816 c=3.816 alpha=60.00 beta=60.00 gamma=60.00
Fractional positions:
V: 0.000 0.000 0.000
Cd: 0.500 0.500 0.500

Computed properties:
ΔH_f (0 K) = 1.1518 eV per atom
DOS(E_F) = 1.06 states/eV per atom
DFT total energy = -3.87 eV/atom

***

No. 4
Density functional theory data (GGA-PBE) for V4Cd after structural relaxation.

Unit cell a=4.929 b=4.929 c=4.929 alpha=90.00 beta=90.00 gamma=90.00
Fractional positions:
V: 0.000 0.000 0.000
V: 0.000 0.500 0.500
V: 0.500 0.000 0.500
V: 0.500 0.500 0.000
Cd: 0.500 0.500 0.500

Computed properties:
ΔH_f (0 K) = 2.0939 eV per atom
DOS(E_F) = 1.75 states/eV per atom
DFT total energy = -5.38 eV/atom

***

No. 5
Density functional theory data (GGA-PBE) for VCd after structural relaxation.

Unit cell a=9.187 b=9.187 c=2.919 alpha=90.00 beta=90.00 gamma=120.00
Fractional positions:
V: 0.134 0.567 0.250
V: 0.433 0.567 0.250
V: 0.433 0.866 0.250
V: 0.567 0.134 0.750
V: 0.567 0.433 0.750
V: 0.866 0.433 0.750
Cd: 0.157 0.315 0.750
Cd: 0.157 0.843 0.750
Cd: 0.315 0.157 0.250
Cd: 0.685 0.843 0.750
Cd: 0.843 0.157 0.250
Cd: 0.843 0.685 0.250

Computed properties:
ΔH_f (0 K) = 0.3751 eV per atom
DOS(E_F) = 0.71 states/eV per atom
DFT total energy = -4.64 eV/atom

***

No. 6
Density functional theory data (GGA-PBE) for VCd after structural relaxation.

Unit cell a=12.058 b=2.806 c=6.877 alpha=90.00 beta=90.00 gamma=90.00
Fractional positions:
V: 0.000 0.219 0.000
V: 0.095 0.933 0.265
V: 0.405 0.067 0.765
V: 0.500 0.781 0.500
V: 0.595 0.067 0.765
V: 0.905 0.933 0.265
Cd: 0.000 0.505 0.609
Cd: 0.222 0.562 0.952
Cd: 0.278 0.438 0.452
Cd: 0.500 0.495 0.109
Cd: 0.722 0.438 0.452
Cd: 0.778 0.562 0.952

Computed properties:
ΔH_f (0 K) = 0.3800 eV per atom
DOS(E_F) = 0.98 states/eV per atom
DFT total energy = -4.64 eV/atom

***

No. 7
Density functional theory data (GGA-PBE) for VCd after structural relaxation.

Unit cell a=2.916 b=11.102 c=7.136 alpha=90.00 beta=90.00 gamma=90.00
Fractional positions:
V: 0.250 0.141 0.002
V: 0.250 0.359 0.002
V: 0.250 0.750 0.791
V: 0.750 0.250 0.209
V: 0.750 0.641 0.998
V: 0.750 0.859 0.998
Cd: 0.250 0.250 0.615
Cd: 0.250 0.513 0.683
Cd: 0.250 0.987 0.683
Cd: 0.750 0.013 0.317
Cd: 0.750 0.487 0.317
Cd: 0.750 0.750 0.385

Computed properties:
ΔH_f (0 K) = 0.4753 eV per atom
DOS(E_F) = 1.05 states/eV per atom
DFT total energy = -4.54 eV/atom

***

No. 8
Density functional theory data (GGA-PBE) for VCd after structural relaxation.

Unit cell a=5.430 b=5.430 c=5.616 alpha=90.00 beta=90.00 gamma=90.00
Fractional positions:
V: 0.131 0.131 0.000
V: 0.369 0.631 0.500
V: 0.631 0.369 0.500
V: 0.869 0.869 0.000
Cd: 0.173 0.173 0.500
Cd: 0.327 0.673 0.000
Cd: 0.673 0.327 0.000
Cd: 0.827 0.827 0.500

Computed properties:
ΔH_f (0 K) = 0.8565 eV per atom
DOS(E_F) = 1.02 states/eV per atom
DFT total energy = -4.16 eV/atom